(1)
Computed, not measured: a relaxed Au3C crystal at the PBE level of DFT.

a = 2.954 Å, b = 2.954 Å, c = 7.079 Å
α = 90.00°, β = 90.00°, γ = 90.00°
Sites, in units of the cell vectors:
C  0.500  0.500  0.750
Au  0.000  0.000  0.953
Au  0.500  0.500  0.250
Au  0.000  0.000  0.547

**Calculated formation energy**: 1.21 eV per atom
**Magnetic moment**: 0.0 μB/cell
**Raw total energy**: -3.555 eV/atom
**Distance to the lowest polymorph of the same formula**: 0.650 eV per atom
**SG**: P4/mmm, No. 123

(2)
Computed, not measured: a relaxed CaCo2P crystal at the PBE level of DFT.

a = 5.456 Å, b = 5.456 Å, c = 5.456 Å
α = 140.13°, β = 136.01°, γ = 60.86°
Each line ends with the local moment (μB).
Sites, in units of the cell vectors:
Ca  0.713  0.213  0.500  -0.04
Co  0.963  0.963  0.000  1.65
Co  0.357  0.857  0.500  0.93
P  0.467  0.467  0.000  0.02

**Calculated formation energy**: -0.03 eV per atom
**Magnetic moment**: 2.5 μB/cell
**Raw total energy**: -5.432 eV/atom
**SG**: Imm2, No. 44

(3)
Computed, not measured: a relaxed KCeAgI6 crystal at the PBE level of DFT.

a = 7.781 Å, b = 7.781 Å, c = 16.158 Å
α = 90.00°, β = 90.00°, γ = 120.00°
Sites, in units of the cell vectors:
K  0.000  0.000  0.000
K  0.000  0.000  0.500
Ce  0.667  0.333  0.250
Ce  0.333  0.667  0.750
Ag  0.333  0.667  0.250
Ag  0.667  0.333  0.750
I  0.641  0.638  0.140
I  0.997  0.359  0.140
I  0.359  0.997  0.640
I  0.003  0.641  0.860
I  0.362  0.359  0.360
I  0.997  0.638  0.360
I  0.638  0.997  0.860
I  0.641  0.003  0.360
I  0.003  0.362  0.640
I  0.362  0.003  0.140
I  0.638  0.641  0.640
I  0.359  0.362  0.860

**Magnetic moment**: 0.0 μB/cell
**Raw total energy**: -3.130 eV/atom
**SG**: P-31c, No. 163

(4)
Computed, not measured: a relaxed ScCrSeN2 crystal at the PBE level of DFT.

a = 3.739 Å, b = 3.739 Å, c = 4.998 Å
α = 90.00°, β = 90.00°, γ = 90.00°
Each line ends with the local moment (μB).
Sites, in units of the cell vectors:
Sc  0.500  0.500  0.500  0.01
Cr  0.000  0.000  0.000  0.82
Se  0.000  0.000  0.500  -0.01
N  0.000  0.500  0.000  -0.09
N  0.500  0.000  0.000  -0.09

**Magnetic moment**: 0.6 μB/cell
**Raw total energy**: -7.415 eV/atom
**Distance to the lowest polymorph of the same formula**: 0.000 eV per atom
**SG**: P4/mmm, No. 123

(5)
Computed, not measured: a relaxed Pm2TlTeO8 crystal at the PBE level of DFT.

a = 4.861 Å, b = 4.883 Å, c = 7.513 Å
α = 88.31°, β = 88.33°, γ = 94.16°
Each line ends with the local moment (μB).
Sites, in units of the cell vectors:
Pm  0.449  0.450  0.757  -0.01
Pm  0.551  0.550  0.243  -0.01
Tl  0.000  0.000  0.500  0.00
Te  0.000  0.000  0.000  -0.02
O  0.124  0.762  0.192  0.14
O  0.713  0.717  0.958  0.16
O  0.764  0.125  0.193  0.14
O  0.876  0.238  0.808  0.14
O  0.287  0.283  0.042  0.16
O  0.236  0.875  0.807  0.14
O  0.696  0.697  0.521  0.00
O  0.304  0.303  0.479  0.00

**Magnetic moment**: 1.0 μB/cell
**Raw total energy**: -6.407 eV/atom
**SG**: P-1, No. 2

(6)
Computed, not measured: a relaxed Zr2TlAu crystal at the PBE level of DFT.

a = 5.276 Å, b = 5.276 Å, c = 3.236 Å
α = 90.00°, β = 90.00°, γ = 109.14°
Sites, in units of the cell vectors:
Tl  0.000  0.500  0.500
Au  0.500  0.000  0.500
Zr  0.000  0.000  0.000
Zr  0.500  0.500  0.000

**Calculated formation energy**: -0.25 eV per atom
**Magnetic moment**: 0.0 μB/cell
**Raw total energy**: -5.939 eV/atom
**SG**: Cmmm, No. 65

(7)
Computed, not measured: a relaxed In2GaBi crystal at the PBE level of DFT.

a = 4.768 Å, b = 4.782 Å, c = 4.782 Å
α = 90.00°, β = 90.00°, γ = 90.00°
Sites, in units of the cell vectors:
Bi  0.500  0.500  0.500
Ga  0.500  0.000  0.000
In  0.000  0.000  0.500
In  0.000  0.500  0.000

**Calculated formation energy**: 0.05 eV per atom
**Magnetic moment**: 0.0 μB/cell
**Raw total energy**: -3.051 eV/atom
**Distance to the lowest polymorph of the same formula**: 0.000 eV per atom
**SG**: P4/mmm, No. 123

(8)
Computed, not measured: a relaxed CaTm2ScSe4 crystal at the PBE level of DFT.

a = 5.677 Å, b = 5.677 Å, c = 6.968 Å
α = 114.04°, β = 114.04°, γ = 90.00°
Sites, in units of the cell vectors:
Ca  0.500  0.500  0.000
Tm  0.250  0.750  0.500
Tm  0.000  0.000  0.000
Sc  0.750  0.250  0.500
Se  0.997  0.497  0.995
Se  0.503  0.003  0.005
Se  0.751  0.751  0.502
Se  0.249  0.249  0.498

**Magnetic moment**: 0.0 μB/cell
**Raw total energy**: -5.614 eV/atom
**SG**: I-4m2, No. 119